# 1
A plane-wave DFT calculation with GGA-PBE was carried out for KPrHO3 after structural relaxation.

DFT total energy (eV/atom): -5.784

Lattice parameters (Å, degrees): 4.4547 6.3608 6.9180 67.20 74.03 89.82
With the nearest neighbours (Å) after each atom.
Space group P-1 (No. 2)
One atom of each set of equivalent atoms:
K1 0.1734 0.3478 0.1589 (multiplicity 2)  7 O 2.62-2.87
Pr1 0.4977 0.7971 0.3290 (multiplicity 2)  4 O 2.25-2.41
H1 0.1141 0.8890 0.1020 (multiplicity 2)  1 O 0.98
O1 0.0304 0.1070 0.6020 (multiplicity 2)  1 H 1.98
O2 0.2690 0.8309 0.0086 (multiplicity 2)  1 H 0.98
O3 0.3821 0.5380 0.6945 (multiplicity 2)  2 Pr 2.25-2.33

# 2
A plane-wave DFT calculation with GGA-PBE was carried out for K2H6PtO6 after structural relaxation.

DFT total energy (eV/atom): -4.993

Lattice parameters (Å, degrees): 6.3931 6.3931 12.3479 90.00 90.00 120.00
With the nearest neighbours (Å) after each atom.
Space group R-3 (No. 148, hexagonal axes)
One atom of each set of equivalent atoms:
K1 0.0000 0.0000 0.2119 (multiplicity 6)  3 H 2.61, 9 O 2.72-2.91
H1 0.0102 0.5746 0.3056 (multiplicity 18)  1 O 1.00
Pt1 0.0000 0.0000 0.5000 (multiplicity 3)  6 O 2.04
O1 0.0398 0.4615 0.2616 (multiplicity 18)  1 H 1.00

# 3
A plane-wave DFT calculation with GGA-PBE was carried out for KReHO3 after structural relaxation.

DFT total energy (eV/atom): -6.625

Lattice parameters (Å, degrees): 5.2926 5.6048 6.0123 99.23 109.05 90.41
With the nearest neighbours (Å) after each atom.
Space group P-1 (No. 2)
One atom of each set of equivalent atoms:
K1 0.1305 0.3780 0.2493 (multiplicity 2)  1 H 2.61, 7 O 2.69-2.92
Re1 0.4566 0.0706 0.8227 (multiplicity 2)  3 O 1.78-1.91
H1 0.2186 0.8387 0.4270 (multiplicity 2)  1 O 1.06
O1 0.2054 0.8776 0.1900 (multiplicity 2)  1 H 1.46
O2 0.2557 0.7980 0.6010 (multiplicity 2)  1 H 1.06
O3 0.2907 0.3446 0.8273 (multiplicity 2)  1 Re 1.78

# 4
A plane-wave DFT calculation with GGA-PBE was carried out for K2ReH6O6 after structural relaxation.

DFT total energy (eV/atom): -5.524

Lattice parameters (Å, degrees): 6.4178 6.4178 12.3570 90.00 90.00 120.00
With the nearest neighbours (Å) after each atom.
Space group R-3 (No. 148, hexagonal axes)
One atom of each set of equivalent atoms:
K1 0.0000 0.0000 0.2112 (multiplicity 6)  3 H 2.62, 9 O 2.72-2.93
Re1 0.0000 0.0000 0.5000 (multiplicity 3)  6 O 2.05
H1 0.0015 0.4344 0.3088 (multiplicity 18)  1 O 1.00
O1 0.0387 0.5754 0.2621 (multiplicity 18)  1 H 1.00

# 5
A plane-wave DFT calculation with GGA-PBE was carried out for K2TmH4S2O10 after structural relaxation.

DFT total energy (eV/atom): -5.684

Lattice parameters (Å, degrees): 5.6014 6.2668 7.2475 106.28 94.37 107.78
With the nearest neighbours (Å) after each atom.
Space group P-1 (No. 2)
One atom of each set of equivalent atoms:
K1 0.1968 0.3215 0.2436 (multiplicity 2)  7 O 2.72-2.89
Tm1 0.5000 0.0000 0.5000 (multiplicity 1)  6 O 2.24-2.32
H1 0.3052 0.8052 0.0777 (multiplicity 2)  1 O 0.99
H2 0.4105 0.0384 0.8647 (multiplicity 2)  1 O 0.99
S1 0.1518 0.3091 0.7413 (multiplicity 2)  4 O 1.47-1.52
O1 0.0930 0.7440 0.3923 (multiplicity 2)  1 S 1.51
O2 0.1277 0.1315 0.8448 (multiplicity 2)  1 S 1.49
O3 0.2296 0.5518 0.8774 (multiplicity 2)  1 S 1.47
O4 0.3494 0.2953 0.6109 (multiplicity 2)  1 S 1.52
O5 0.4210 0.9579 0.1708 (multiplicity 2)  2 H 0.99

# 6
A plane-wave DFT calculation with GGA-PBE was carried out for KTa4HO5 after structural relaxation.

DFT total energy (eV/atom): -8.914

Lattice parameters (Å, degrees): 4.1799 4.1799 7.9597 90.00 90.00 90.00
With the nearest neighbours (Å) after each atom.
Space group P4/mmm (No. 123)
One atom of each set of equivalent atoms:
K1 0.0000 0.0000 0.0000 (multiplicity 1)  8 O 2.80, 4 H 2.96
Ta1 0.0000 0.5000 0.5000 (multiplicity 2)  4 O 2.09-2.11
Ta2 0.5000 0.5000 0.2491 (multiplicity 2)  1 H 1.98, 4 O 2.09
H1 0.5000 0.5000 0.0000 (multiplicity 1)  2 Ta 1.98
O1 0.0000 0.0000 0.5000 (multiplicity 1)  4 Ta 2.09
O2 0.0000 0.5000 0.2348 (multiplicity 4)  3 Ta 2.09-2.11

# 7
A plane-wave DFT calculation with GGA-PBE was carried out for KTcHO3 after structural relaxation.

DFT total energy (eV/atom): -6.253

Lattice parameters (Å, degrees): 5.4137 5.5244 6.0023 99.71 109.42 90.17
With the nearest neighbours (Å) after each atom.
Space group P-1 (No. 2)
One atom of each set of equivalent atoms:
K1 0.1242 0.3687 0.2504 (multiplicity 2)  1 H 2.59, 6 O 2.68-2.83
Tc1 0.4537 0.0727 0.8258 (multiplicity 2)  3 O 1.76-1.90
H1 0.2324 0.8326 0.4300 (multiplicity 2)  1 O 1.05
O1 0.2200 0.8693 0.1871 (multiplicity 2)  1 H 1.48
O2 0.2648 0.7925 0.6015 (multiplicity 2)  1 H 1.05
O3 0.2793 0.3393 0.8418 (multiplicity 2)  1 Tc 1.76

# 8
A plane-wave DFT calculation with GGA-PBE was carried out for KZrHO3 after structural relaxation.

DFT total energy (eV/atom): -6.849

Lattice parameters (Å, degrees): 4.0345 6.2525 7.1214 114.53 106.38 90.09
With the nearest neighbours (Å) after each atom.
Space group P-1 (No. 2)
One atom of each set of equivalent atoms:
K1 0.1576 0.4940 0.3176 (multiplicity 2)  6 O 2.58-2.82
Zr1 0.4218 0.1100 0.8370 (multiplicity 2)  5 O 1.97-2.17
H1 0.2108 0.0460 0.4264 (multiplicity 2)  1 O 0.99
O1 0.0641 0.7961 0.1339 (multiplicity 2)  1 H 1.93, 2 Zr 2.08-2.09
O2 0.2830 0.1951 0.5614 (multiplicity 2)  1 H 0.99
O3 0.4129 0.7899 0.8242 (multiplicity 2)  2 Zr 1.97-2.12

# 9
A plane-wave DFT calculation with GGA-PBE was carried out for K2ZrH6O6 after structural relaxation.

Offset from the most stable computed form (meV per atom): 0

Lattice parameters (Å, degrees): 6.5064 6.5064 12.3984 90.00 90.00 120.00
With the nearest neighbours (Å) after each atom.
Space group R-3 (No. 148, hexagonal axes)
One atom of each set of equivalent atoms:
K1 0.0000 0.0000 0.2099 (multiplicity 6)  6 H 2.67-2.99, 9 O 2.72-2.97
Zr1 0.0000 0.0000 0.5000 (multiplicity 3)  6 O 2.12
H1 0.0125 0.5672 0.6871 (multiplicity 18)  1 O 1.00
O1 0.0312 0.5725 0.2645 (multiplicity 18)  1 H 1.00

# 10
A plane-wave DFT calculation with GGA-PBE was carried out for K2ZrH6O6 after structural relaxation.

Offset from the most stable computed form (meV per atom): 51

Lattice parameters (Å, degrees): 6.4089 6.4089 13.7235 90.00 90.00 120.00
With the nearest neighbours (Å) after each atom.
Space group R-3 (No. 148, hexagonal axes)
One atom of each set of equivalent atoms:
K1 0.0000 0.0000 0.1676 (multiplicity 6)  6 O 2.62-2.67
Zr1 0.0000 0.0000 0.5000 (multiplicity 3)  6 O 2.11
H1 0.0043 0.2846 0.6578 (multiplicity 18)  1 O 0.97
O1 0.0080 0.2746 0.5872 (multiplicity 18)  1 H 0.97

# 11
A plane-wave DFT calculation with GGA-PBE was carried out for K2H6Os after structural relaxation.

DFT total energy (eV/atom): -3.652

Lattice parameters (Å, degrees): 4.2636 5.5996 5.6139 119.83 90.09 90.11
With the nearest neighbours (Å) after each atom.
Space group P-1 (No. 2)
One atom of each set of equivalent atoms:
K1 0.2058 0.3333 0.1670 (multiplicity 2)  12 H 2.75-2.84
H1 0.2953 0.3065 0.6533 (multiplicity 2)  1 Os 1.73
H2 0.2951 0.8465 0.6533 (multiplicity 2)  1 Os 1.73
H3 0.2951 0.8466 0.1935 (multiplicity 2)  1 Os 1.73
Os1 0.5000 0.0000 0.5000 (multiplicity 1)  6 H 1.73

# 12
A plane-wave DFT calculation with GGA-PBE was carried out for KH4Pd after structural relaxation.

DFT total energy (eV/atom): -3.173

Lattice parameters (Å, degrees): 5.4195 5.4195 8.5998 90.00 90.00 90.00
With the nearest neighbours (Å) after each atom.
Space group I4_1/a (No. 88, origin choice 2)
One atom of each set of equivalent atoms:
K1 0.0000 0.2500 0.1250 (multiplicity 4)  8 H 2.57-2.64
H1 0.0551 0.0546 0.3953 (multiplicity 16)  1 Pd 1.69
Pd1 0.0000 0.2500 0.6250 (multiplicity 4)  4 H 1.69

# 13
A plane-wave DFT calculation with GGA-PBE was carried out for K3H3Pd after structural relaxation.

DFT total energy (eV/atom): -2.888

Lattice parameters (Å, degrees): 10.7037 10.7037 10.2252 90.00 90.00 90.00
With the nearest neighbours (Å) after each atom.
Space group P4_2/mnm (No. 136)
One atom of each set of equivalent atoms:
K1 0.0041 0.2507 0.2128 (multiplicity 16)  4 H 2.68-2.95
K2 0.2081 0.2081 0.5000 (multiplicity 4)  4 H 2.60-2.65
K3 0.2085 0.7915 0.5000 (multiplicity 4)  5 H 2.66-2.72
H1 0.0000 0.0000 0.3337 (multiplicity 4)  1 Pd 1.70
H2 0.0001 0.3428 0.5000 (multiplicity 8)  1 Pd 1.68
H3 0.1118 0.1118 0.0000 (multiplicity 4)  1 Pd 1.69
H4 0.2447 0.7553 0.2447 (multiplicity 8)  6 K 2.60-2.72
Pd1 0.0000 0.0000 0.0000 (multiplicity 2)  2 H 1.69
Pd2 0.0000 0.0000 0.5000 (multiplicity 2)  2 H 1.70
Pd3 0.0000 0.5000 0.0000 (multiplicity 4)  2 H 1.68

# 14
A plane-wave DFT calculation with GGA-PBE was carried out for K2H4Pd after structural relaxation.

DFT total energy (eV/atom): -3.276

Lattice parameters (Å, degrees): 5.5054 5.5054 8.1792 90.00 90.00 90.00
With the nearest neighbours (Å) after each atom.
Space group P4_2/mnm (No. 136)
One atom of each set of equivalent atoms:
K1 0.0000 0.5000 0.2500 (multiplicity 4)  8 H 2.78-2.84
H1 0.0000 0.0000 0.2031 (multiplicity 4)  1 Pd 1.66
H2 0.2139 0.2139 0.0000 (multiplicity 4)  1 Pd 1.67
Pd1 0.0000 0.0000 0.0000 (multiplicity 2)  4 H 1.66-1.67

# 15
A plane-wave DFT calculation with GGA-PBE was carried out for KRbH2Pd after structural relaxation.

DFT total energy (eV/atom): -3.036

Lattice parameters (Å, degrees): 4.1852 4.1852 12.6245 90.00 90.00 90.00
With the nearest neighbours (Å) after each atom.
Space group I4mm (No. 107)
One atom of each set of equivalent atoms:
K1 0.0000 0.0000 0.0000 (multiplicity 2)  5 H 2.92-2.96
Rb1 0.0000 0.0000 0.2719 (multiplicity 2)  5 H 2.85-2.96
H1 0.0000 0.0000 0.4979 (multiplicity 2)  1 Pd 1.70
H2 0.0000 0.0000 0.7687 (multiplicity 2)  1 Pd 1.72
Pd1 0.0000 0.0000 0.6323 (multiplicity 2)  2 H 1.70-1.72

# 16
A plane-wave DFT calculation with GGA-PBE was carried out for KPmH2 after structural relaxation.

DFT total energy (eV/atom): -3.145

Lattice parameters (Å, degrees): 3.6940 3.6940 5.3317 90.00 90.00 90.00
With the nearest neighbours (Å) after each atom.
Space group P4/mmm (No. 123)
One atom of each set of equivalent atoms:
K1 0.0000 0.0000 0.0000 (multiplicity 1)  6 H 2.61-2.67
Pm1 0.5000 0.5000 0.5000 (multiplicity 1)  6 H 2.61-2.67
H1 0.0000 0.0000 0.5000 (multiplicity 1)  4 Pm 2.61, 2 K 2.67
H2 0.5000 0.5000 0.0000 (multiplicity 1)  4 K 2.61, 2 Pm 2.67

# 17
A plane-wave DFT calculation with GGA-PBE was carried out for KRbH2Pt after structural relaxation.

Offset from the most stable computed form (meV per atom): 19

Lattice parameters (Å, degrees): 4.2130 4.2130 12.3800 90.00 90.00 90.00
With the nearest neighbours (Å) after each atom.
Space group I4mm (No. 107)
One atom of each set of equivalent atoms:
K1 0.0000 0.0000 0.0000 (multiplicity 2)  5 H 2.90-2.98
Rb1 0.0000 0.0000 0.2670 (multiplicity 2)  5 H 2.81-2.98
H1 0.0000 0.0000 0.4939 (multiplicity 2)  1 Pt 1.67
H2 0.0000 0.0000 0.7658 (multiplicity 2)  1 Pt 1.69
Pt1 0.0000 0.0000 0.6289 (multiplicity 2)  2 H 1.67-1.69

# 18
A plane-wave DFT calculation with GGA-PBE was carried out for KRbH2Pt after structural relaxation.

Offset from the most stable computed form (meV per atom): 0

Lattice parameters (Å, degrees): 5.1472 5.1472 17.5403 90.00 90.00 120.00
With the nearest neighbours (Å) after each atom.
Space group R3m (No. 160, hexagonal axes)
One atom of each set of equivalent atoms:
K1 0.0000 0.0000 0.0000 (multiplicity 3)  4 H 2.78-2.99
Rb1 0.0000 0.0000 0.5055 (multiplicity 3)  4 H 2.73-2.98
H1 0.0000 0.0000 0.1587 (multiplicity 3)  1 Pt 1.69
H2 0.0000 0.0000 0.3497 (multiplicity 3)  1 Pt 1.66
Pt1 0.0000 0.0000 0.2549 (multiplicity 3)  2 H 1.66-1.69